1.
Material: LaYEr2
Method: DFT, PBE
State: optimized geometry

abc: 3.609 3.609 11.722
angles: 81.14 81.14 60.00
Element x y z (fractional)
La  0.666  0.666  0.002
Y  0.500  0.500  0.499
Er  0.085  0.085  0.745
Er  0.248  0.248  0.255

E_tot ... -20.5 eV for the cell shown
E_form ... 0.0102 eV per atom

---

2.
Material: La2YEr
Method: DFT, PBE
State: optimized geometry

abc: 3.718 6.198 6.198
angles: 106.59 90.00 90.00
Element x y z (fractional)
La  0.000  0.500  0.000
La  0.000  0.000  0.500
Y  0.500  0.500  0.500
Er  0.500  0.000  0.000

E_tot ... -20.8 eV for the cell shown
E_form ... 0.0256 eV per atom

---

3.
Material: La8Y2Er3
Method: DFT, PBE
State: optimized geometry

abc: 6.147 11.823 9.034
angles: 130.87 73.09 90.00
Element x y z (fractional)
La  0.734  0.414  0.829
La  0.266  0.586  0.171
La  0.114  0.862  0.724
La  0.886  0.138  0.276
La  0.352  0.920  0.319
La  0.352  0.399  0.319
La  0.648  0.601  0.681
La  0.648  0.080  0.681
Y  0.685  0.687  0.374
Y  0.315  0.313  0.626
Er  0.500  0.000  0.000
Er  0.000  0.273  0.000
Er  0.000  0.727  0.000

E_tot ... -64.2 eV for the cell shown
E_form ... 0.1439 eV per atom